1.
Ac2ZnBRh6: optimized geometry, GGA-PBE.

It has space group C2/m (No. 12), with a = 9.0195 Å, b = 9.0210 Å, c = 6.3753 Å, α = 90.00°, β = 134.95° and γ = 90.00°. The asymmetric unit holds Ac at (0.0000, 0.2499, 0.0000), Zn at (0.0000, 0.0000, 0.5000), B at (0.0000, 0.5000, 0.5000), Rh at (0.0000, 0.2706, 0.5000), Rh at (0.2293, 0.5000, 0.4999) and Rh at (0.2294, 0.5000, 0.9588).

The formation energy is -0.449 eV per atom. The magnetization comes out at 0.0 μB per formula unit. The calculation puts the volume at 18.356 A^3/atom. The density of states at the Fermi level comes out at 23.534 states/eV/cell.



2.
AcZnBRh3: optimized geometry, GGA-PBE.

It has space group Cmcm (No. 63), with a = 5.8994 Å, b = 12.2138 Å, c = 5.9261 Å, α = 90.00°, β = 90.00° and γ = 90.00°. The asymmetric unit holds Ac at (0.0000, 0.2471, 0.2500), Zn at (0.0000, 0.1163, 0.7500), B at (0.0000, 0.4902, 0.7500), Rh at (0.0000, 0.3204, 0.7500) and Rh at (0.2426, 0.5000, 0.0000).

The formation energy is -0.503 eV per atom. The magnetization comes out at 0.0 μB per formula unit. The calculation puts the volume at 17.792 A^3/atom. The density of states at the Fermi level comes out at 12.844 states/eV/cell.